First-principles (GGA-PBE) data for a relaxed structure of Ti4InS8, as listed in Alexandria via LeMat-Bulk.

```
data_Ti4InS8
_chemical_formula_sum 'Ti4 In1 S8'
_cell_length_a 6.826
_cell_length_b 6.826
_cell_length_c 8.160
_cell_angle_alpha 65.27
_cell_angle_beta 65.27
_cell_angle_gamma 60.00
_symmetry_space_group_name_H-M 'P 1'
_symmetry_Int_Tables_number 1
loop_
_symmetry_equiv_pos_as_xyz
'x,y,z'
loop_
_atom_site_label
_atom_site_fract_x
_atom_site_fract_y
_atom_site_fract_z
Ti1 0.000 0.500 0.000
Ti2 0.500 0.500 0.000
Ti3 0.500 0.000 0.000
Ti4 0.000 0.000 0.000
In1 0.500 0.500 0.500
S1 0.734 0.235 0.797
S2 0.765 0.266 0.203
S3 0.266 0.765 0.203
S4 0.765 0.765 0.203
S5 0.733 0.733 0.801
S6 0.267 0.267 0.199
S7 0.235 0.235 0.797
S8 0.235 0.734 0.797
```

Output
Formation energy without anion corrections ... -1234 meV/atom
SG ... No. 166


First-principles (GGA-PBE) data for a relaxed structure of Ac2PrIO4, as listed in Alexandria via LeMat-Bulk.

```
data_Ac2PrIO4
_chemical_formula_sum 'Ac2 Pr1 I1 O4'
_cell_length_a 4.218
_cell_length_b 4.218
_cell_length_c 10.138
_cell_angle_alpha 90.00
_cell_angle_beta 90.00
_cell_angle_gamma 90.00
_symmetry_space_group_name_H-M 'P 1'
_symmetry_Int_Tables_number 1
loop_
_symmetry_equiv_pos_as_xyz
'x,y,z'
loop_
_atom_site_label
_atom_site_fract_x
_atom_site_fract_y
_atom_site_fract_z
Ac1 0.500 0.500 0.251
Ac2 0.500 0.500 0.749
Pr1 0.000 0.000 0.000
I1 0.000 0.000 0.500
O1 0.000 0.500 0.143
O2 0.500 0.000 0.857
O3 0.500 0.000 0.143
O4 0.000 0.500 0.857
```

Output
Formation energy without anion corrections ... -3086 meV/atom
SG ... No. 123


First-principles (GGA-PBE) data for a relaxed structure of P2WSI, as listed in Alexandria via LeMat-Bulk.

```
data_P2WSI
_chemical_formula_sum 'P2 W1 S1 I1'
_cell_length_a 5.047
_cell_length_b 5.047
_cell_length_c 4.881
_cell_angle_alpha 90.00
_cell_angle_beta 90.00
_cell_angle_gamma 90.00
_symmetry_space_group_name_H-M 'P 1'
_symmetry_Int_Tables_number 1
loop_
_symmetry_equiv_pos_as_xyz
'x,y,z'
loop_
_atom_site_label
_atom_site_fract_x
_atom_site_fract_y
_atom_site_fract_z
I1 0.000 0.000 0.000
P1 0.000 0.500 0.000
P2 0.500 0.000 0.000
S1 0.000 0.000 0.500
W1 0.500 0.500 0.500
```

Output
Formation energy without anion corrections ... 2195 meV/atom
SG ... No. 123


First-principles (GGA-PBE) data for a relaxed structure of Ba2BeSb2, as listed in Alexandria via LeMat-Bulk.

```
data_Ba2BeSb2
_chemical_formula_sum 'Ba4 Be2 Sb4'
_cell_length_a 7.605
_cell_length_b 7.605
_cell_length_c 5.484
_cell_angle_alpha 90.00
_cell_angle_beta 90.00
_cell_angle_gamma 90.00
_symmetry_space_group_name_H-M 'P 1'
_symmetry_Int_Tables_number 1
loop_
_symmetry_equiv_pos_as_xyz
'x,y,z'
loop_
_atom_site_label
_atom_site_fract_x
_atom_site_fract_y
_atom_site_fract_z
Sb1 0.361 0.861 0.000
Sb2 0.861 0.639 0.000
Sb3 0.639 0.139 0.000
Sb4 0.139 0.361 0.000
Ba1 0.174 0.674 0.500
Ba2 0.674 0.826 0.500
Ba3 0.826 0.326 0.500
Ba4 0.326 0.174 0.500
Be1 0.000 0.000 0.000
Be2 0.500 0.500 0.000
```

Output
Formation energy without anion corrections ... -296 meV/atom
SG ... No. 127


First-principles (GGA-PBE) data for a relaxed structure of Tb8ErTh2, as listed in Alexandria via LeMat-Bulk.

```
data_Tb8ErTh2
_chemical_formula_sum 'Tb8 Er1 Th2'
_cell_length_a 5.942
_cell_length_b 7.596
_cell_length_c 9.200
_cell_angle_alpha 111.60
_cell_angle_beta 105.41
_cell_angle_gamma 97.96
_symmetry_space_group_name_H-M 'P 1'
_symmetry_Int_Tables_number 1
loop_
_symmetry_equiv_pos_as_xyz
'x,y,z'
loop_
_atom_site_label
_atom_site_fract_x
_atom_site_fract_y
_atom_site_fract_z
Tb1 0.158 0.332 0.232
Tb2 0.926 0.100 0.768
Tb3 0.717 0.423 0.000
Tb4 0.708 0.208 0.417
Tb5 0.292 0.792 0.583
Tb6 0.283 0.577 0.000
Tb7 0.074 0.900 0.232
Tb8 0.842 0.668 0.768
Er1 0.500 0.000 0.000
Th1 0.693 0.693 0.387
Th2 0.307 0.307 0.613
```

Output
SG ... No. 12
Formation energy from the elements ... 0.20 eV per atom


First-principles (GGA-PBE) data for a relaxed structure of Li2YTe, as listed in Alexandria via LeMat-Bulk.

```
data_Li2YTe
_chemical_formula_sum 'Li2 Y1 Te1'
_cell_length_a 5.095
_cell_length_b 5.095
_cell_length_c 5.095
_cell_angle_alpha 60.00
_cell_angle_beta 60.00
_cell_angle_gamma 60.00
_symmetry_space_group_name_H-M 'P 1'
_symmetry_Int_Tables_number 1
loop_
_symmetry_equiv_pos_as_xyz
'x,y,z'
loop_
_atom_site_label
_atom_site_fract_x
_atom_site_fract_y
_atom_site_fract_z
Li1 0.000 0.000 0.000
Li2 0.750 0.750 0.750
Te1 0.500 0.500 0.500
Y1 0.250 0.250 0.250
```

Output
Formation energy without anion corrections ... -347 meV/atom
SG ... No. 216


First-principles (GGA-PBE) data for a relaxed structure of Cs2U3TlSe8, as listed in Alexandria via LeMat-Bulk.

```
data_Cs2U3TlSe8
_chemical_formula_sum 'Cs2 U3 Tl1 Se8'
_cell_length_a 8.491
_cell_length_b 8.491
_cell_length_c 10.034
_cell_angle_alpha 64.97
_cell_angle_beta 64.97
_cell_angle_gamma 60.00
_symmetry_space_group_name_H-M 'P 1'
_symmetry_Int_Tables_number 1
loop_
_symmetry_equiv_pos_as_xyz
'x,y,z'
loop_
_atom_site_label
_atom_site_fract_x
_atom_site_fract_y
_atom_site_fract_z
Cs1 0.138 0.138 0.585
Cs2 0.497 0.497 0.509
U1 0.498 0.998 0.005
U2 0.998 0.498 0.005
U3 0.498 0.498 0.005
Tl1 0.884 0.884 0.348
Se1 0.274 0.274 0.179
Se2 0.722 0.722 0.833
Se3 0.235 0.235 0.838
Se4 0.692 0.235 0.838
Se5 0.235 0.692 0.838
Se6 0.760 0.300 0.179
Se7 0.300 0.760 0.179
Se8 0.760 0.760 0.179
```

Output
Formation energy without anion corrections ... -1105 meV/atom
SG ... No. 160


First-principles (GGA-PBE) data for a relaxed structure of SrLaSeBr2, as listed in Alexandria via LeMat-Bulk.

```
data_SrLaSeBr2
_chemical_formula_sum 'Sr1 La1 Se1 Br2'
_cell_length_a 5.853
_cell_length_b 5.853
_cell_length_c 5.778
_cell_angle_alpha 90.00
_cell_angle_beta 90.00
_cell_angle_gamma 90.00
_symmetry_space_group_name_H-M 'P 1'
_symmetry_Int_Tables_number 1
loop_
_symmetry_equiv_pos_as_xyz
'x,y,z'
loop_
_atom_site_label
_atom_site_fract_x
_atom_site_fract_y
_atom_site_fract_z
Sr1 0.500 0.500 0.500
Se1 0.000 0.000 0.500
Br1 0.000 0.500 0.000
Br2 0.500 0.000 0.000
La1 0.000 0.000 0.000
```

Output
Formation energy without anion corrections ... -1470 meV/atom
SG ... No. 123


First-principles (GGA-PBE) data for a relaxed structure of LiTlBiAu, as listed in Alexandria via LeMat-Bulk.

```
data_LiTlBiAu
_chemical_formula_sum 'Li1 Tl1 Bi1 Au1'
_cell_length_a 4.588
_cell_length_b 4.588
_cell_length_c 6.168
_cell_angle_alpha 89.62
_cell_angle_beta 112.47
_cell_angle_gamma 119.67
_symmetry_space_group_name_H-M 'P 1'
_symmetry_Int_Tables_number 1
loop_
_symmetry_equiv_pos_as_xyz
'x,y,z'
loop_
_atom_site_label
_atom_site_fract_x
_atom_site_fract_y
_atom_site_fract_z
Li1 0.526 0.626 0.153
Tl1 0.384 0.060 0.444
Bi1 0.983 0.855 0.837
Au1 0.800 0.263 0.063
```

Output
SG ... No. 8
Formation energy from the elements ... -0.19 eV per atom


First-principles (GGA-PBE) data for a relaxed structure of PrSm3Tl3, as listed in Alexandria via LeMat-Bulk.

```
data_PrSm3Tl3
_chemical_formula_sum 'Pr2 Sm6 Tl6'
_cell_length_a 5.294
_cell_length_b 9.697
_cell_length_c 9.697
_cell_angle_alpha 120.00
_cell_angle_beta 90.00
_cell_angle_gamma 90.00
_symmetry_space_group_name_H-M 'P 1'
_symmetry_Int_Tables_number 1
loop_
_symmetry_equiv_pos_as_xyz
'x,y,z'
loop_
_atom_site_label
_atom_site_fract_x
_atom_site_fract_y
_atom_site_fract_z
Pr1 0.250 0.667 0.333
Pr2 0.750 0.333 0.667
Sm1 0.250 0.761 0.764
Sm2 0.250 0.236 0.997
Sm3 0.250 0.003 0.239
Sm4 0.750 0.239 0.236
Sm5 0.750 0.764 0.003
Sm6 0.750 0.997 0.761
Tl1 0.750 0.620 0.551
Tl2 0.750 0.449 0.069
Tl3 0.750 0.931 0.380
Tl4 0.250 0.380 0.449
Tl5 0.250 0.551 0.931
Tl6 0.250 0.069 0.620
```

Output
SG ... No. 176
Formation energy from the elements ... -0.26 eV per atom


First-principles (GGA-PBE) data for a relaxed structure of Re2NiOs, as listed in Alexandria via LeMat-Bulk.

```
data_Re2NiOs
_chemical_formula_sum 'Re2 Ni1 Os1'
_cell_length_a 4.303
_cell_length_b 4.303
_cell_length_c 4.304
_cell_angle_alpha 60.01
_cell_angle_beta 60.01
_cell_angle_gamma 60.00
_symmetry_space_group_name_H-M 'P 1'
_symmetry_Int_Tables_number 1
loop_
_symmetry_equiv_pos_as_xyz
'x,y,z'
loop_
_atom_site_label
_atom_site_fract_x
_atom_site_fract_y
_atom_site_fract_z
Re1 0.000 0.000 0.000
Re2 0.250 0.250 0.249
Ni1 0.750 0.750 0.750
Os1 0.500 0.500 0.500
```

Output
SG ... No. 216
Formation energy from the elements ... 0.27 eV per atom


| no. | E_tot (eV per atom) | size of the total moment (μB per atom) | density (Mg/m³) |
| --- | --- | --- | --- |
| 1 | -6.4136 | 0.000 | 3.2 |
| 2 | -7.3838 | 0.000 | 7.2 |
| 3 | -3.6951 | 0.515 | 5.4 |
| 4 | -3.4595 | 0.000 | 5.5 |
| 5 | -4.9328 | 0.000 | 8.8 |
| 6 | -3.7053 | 0.123 | 4.1 |
| 7 | -5.8060 | 0.357 | 5.5 |
| 8 | -4.1576 | 0.001 | 3.9 |
| 9 | -3.0474 | 0.000 | 10.1 |
| 10 | -3.9795 | 0.000 | 9.3 |
| 11 | -10.2096 | 0.000 | 18.3 |